{
  "formula": "Tl2InPb2Br7",
  "functional": "PBE-GGA",
  "state": "optimized geometry",
  "magnetic_moment_mub_per_fu": 0.00,
  "total_energy_ev_per_atom": -3.03,
  "spacegroup": "Imm2 (44)",
  "formation_energy_uncorrected_ev_per_atom": -0.818,
  "cell": [[-2.9945, 13.5341, 3.2658], [2.9945, -13.5341, 3.2658], [2.9945, 13.5341, -3.2658]],
  "species": ["Tl", "Tl", "In", "Pb", "Pb", "Br", "Br", "Br", "Br", "Br", "Br", "Br"],
  "frac_coords": [[0.2256, 0.0000, 0.2256], [0.7744, 0.0000, 0.7744], [0.8041, 0.3041, 0.5000], [0.3634, 0.4714, 0.8919], [0.5795, 0.4714, 0.1081], [0.1410, 0.0340, 0.1070], [0.2791, 0.5007, 0.7784], [0.4323, 0.0341, 0.3982], [0.5748, 0.5748, 0.0000], [0.6359, 0.0341, 0.6018], [0.7223, 0.5007, 0.2216], [0.9270, 0.0340, 0.8930]]
}